# Ac3Ni2Pd4

Crystalline Ac3Ni2Pd4 at its relaxed geometry (PBE, Alexandria).

Cell and atoms, written as CIF:
```
data_Ac3Ni2Pd4
_space_group_name_H-M_alt 'P -6 m 2'
_space_group_IT_number 187
_space_group_name_Hall 'P -6 2'
_cell_length_a 4.4799
_cell_length_b 4.4799
_cell_length_c 24.4393
_cell_angle_alpha 90.00
_cell_angle_beta 90.00
_cell_angle_gamma 120.00
loop_
_atom_site_label
_atom_site_fract_x
_atom_site_fract_y
_atom_site_fract_z
Ac1 0.0000 0.0000 0.0791
Ac2 0.0000 0.0000 0.2498
Ac3 0.0000 0.0000 0.4148
Ni1 0.3333 0.6667 0.0000
Ni2 0.6667 0.3333 0.0000
Ni3 0.6667 0.3333 0.3328
Pd1 0.3333 0.6667 0.1643
Pd2 0.3333 0.6667 0.3326
Pd3 0.3333 0.6667 0.5000
Pd4 0.6667 0.3333 0.1656
Pd5 0.6667 0.3333 0.5000
```

Summary:
Density of states at the Fermi level (states/eV/cell): 17.24
Formation energy from the elements (meV per atom): -568

# Ac5NiPd4

Crystalline Ac5NiPd4 at its relaxed geometry (PBE, Alexandria).

Cell and atoms, written as CIF:
```
data_Ac5NiPd4
_space_group_name_H-M_alt 'I 4/m m m'
_space_group_IT_number 139
_space_group_name_Hall '-I 4 2'
_cell_length_a 4.3909
_cell_length_b 4.3909
_cell_length_c 31.0755
_cell_angle_alpha 90.00
_cell_angle_beta 90.00
_cell_angle_gamma 90.00
loop_
_atom_site_label
_atom_site_fract_x
_atom_site_fract_y
_atom_site_fract_z
Ac1 0.0000 0.0000 0.0000
Ac2 0.0000 0.0000 0.1998
Ac3 0.0000 0.0000 0.4028
Ni1 0.0000 0.0000 0.5000
Pd1 0.0000 0.0000 0.0997
Pd2 0.0000 0.0000 0.3010
```

Summary:
Density of states at the Fermi level (states/eV/cell): 10.57
Formation energy from the elements (meV per atom): -657

# Ac8NiPd5

Crystalline Ac8NiPd5 at its relaxed geometry (PBE, Alexandria).

Cell and atoms, written as CIF:
```
data_Ac8NiPd5
_space_group_name_H-M_alt 'I -4'
_space_group_IT_number 82
_space_group_name_Hall 'I -4'
_cell_length_a 9.4884
_cell_length_b 9.4884
_cell_length_c 9.6014
_cell_angle_alpha 90.00
_cell_angle_beta 90.00
_cell_angle_gamma 90.00
loop_
_atom_site_label
_atom_site_fract_x
_atom_site_fract_y
_atom_site_fract_z
Ac1 0.0545 0.2011 0.1833
Ac2 0.0567 0.3073 0.5690
Ni1 0.0000 0.5000 0.2500
Pd1 0.0000 0.0000 0.5000
Pd2 0.1207 0.2497 0.8750
```

Summary:
Density of states at the Fermi level (states/eV/cell): 22.60
Formation energy from the elements (meV per atom): -602

# AcNiPd

Crystalline AcNiPd at its relaxed geometry (PBE, Alexandria).

Cell and atoms, written as CIF:
```
data_AcNiPd
_space_group_name_H-M_alt 'I m m a'
_space_group_IT_number 74
_space_group_name_Hall '-I 2b 2'
_cell_length_a 4.1807
_cell_length_b 4.2623
_cell_length_c 15.4189
_cell_angle_alpha 90.00
_cell_angle_beta 90.00
_cell_angle_gamma 90.00
loop_
_atom_site_label
_atom_site_fract_x
_atom_site_fract_y
_atom_site_fract_z
Ac1 0.0000 0.2500 0.1286
Ni1 0.0000 0.2500 0.7175
Pd1 0.0000 0.2500 0.5542
```

Summary:
Density of states at the Fermi level (states/eV/cell): 8.53
Formation energy from the elements (meV per atom): -533
Polymorph energy (0 for the lowest one) (meV/atom): 0.0

# AcNiPd

Crystalline AcNiPd at its relaxed geometry (PBE, Alexandria).

Cell and atoms, written as CIF:
```
data_AcNiPd
_space_group_name_H-M_alt 'P -6 m 2'
_space_group_IT_number 187
_space_group_name_Hall 'P -6 2'
_cell_length_a 4.3795
_cell_length_b 4.3795
_cell_length_c 4.1275
_cell_angle_alpha 90.00
_cell_angle_beta 90.00
_cell_angle_gamma 120.00
loop_
_atom_site_label
_atom_site_fract_x
_atom_site_fract_y
_atom_site_fract_z
Ac1 0.0000 0.0000 0.0000
Ni1 0.3333 0.6667 0.5000
Pd1 0.6667 0.3333 0.5000
```

Summary:
Density of states at the Fermi level (states/eV/cell): 3.05
Formation energy from the elements (meV per atom): -520
Polymorph energy (0 for the lowest one) (meV/atom): 13.2

# Ac6NiPd2

Crystalline Ac6NiPd2 at its relaxed geometry (PBE, Alexandria).

Cell and atoms, written as CIF:
```
data_Ac6NiPd2
_space_group_name_H-M_alt 'P 1 21/c 1'
_space_group_IT_number 14
_space_group_name_Hall '-P 2ybc'
_cell_length_a 7.1625
_cell_length_b 7.8790
_cell_length_c 12.8284
_cell_angle_alpha 90.00
_cell_angle_beta 120.29
_cell_angle_gamma 90.00
loop_
_atom_site_label
_atom_site_fract_x
_atom_site_fract_y
_atom_site_fract_z
Ac1 0.0954 0.0444 0.2521
Ac2 0.2430 0.6782 0.0752
Ac3 0.3924 0.1825 0.0681
Ni1 0.0000 0.0000 0.0000
Pd1 0.3313 0.1163 0.7710
```

Summary:
Density of states at the Fermi level (states/eV/cell): 18.15
Formation energy from the elements (meV per atom): -420

# Ac2Ni3Pd

Crystalline Ac2Ni3Pd at its relaxed geometry (PBE, Alexandria).

Cell and atoms, written as CIF:
```
data_Ac2Ni3Pd
_space_group_name_H-M_alt 'P m m 2'
_space_group_IT_number 25
_space_group_name_Hall 'P 2 -2'
_cell_length_a 4.1503
_cell_length_b 4.2529
_cell_length_c 7.4251
_cell_angle_alpha 90.00
_cell_angle_beta 90.00
_cell_angle_gamma 90.00
loop_
_atom_site_label
_atom_site_fract_x
_atom_site_fract_y
_atom_site_fract_z
Ac1 0.0000 0.0000 0.0000
Ac2 0.0000 0.5000 0.4916
Ni1 0.5000 0.0000 0.3239
Ni2 0.5000 0.0000 0.6405
Ni3 0.5000 0.5000 0.1787
Pd1 0.5000 0.5000 0.8306
```

Summary:
Density of states at the Fermi level (states/eV/cell): 6.70
Formation energy from the elements (meV per atom): -398

# Ac6NiPd4

Crystalline Ac6NiPd4 at its relaxed geometry (PBE, Alexandria).

Cell and atoms, written as CIF:
```
data_Ac6NiPd4
_space_group_name_H-M_alt 'P 4/m n c'
_space_group_IT_number 128
_space_group_name_Hall '-P 4 2n'
_cell_length_a 8.3486
_cell_length_b 8.3486
_cell_length_c 9.2893
_cell_angle_alpha 90.00
_cell_angle_beta 90.00
_cell_angle_gamma 90.00
loop_
_atom_site_label
_atom_site_fract_x
_atom_site_fract_y
_atom_site_fract_z
Ac1 0.0000 0.0000 0.2101
Ac2 0.1472 0.3186 0.5000
Ni1 0.0000 0.0000 0.5000
Pd1 0.1250 0.6250 0.2500
```

Summary:
Density of states at the Fermi level (states/eV/cell): 20.94
Formation energy from the elements (meV per atom): -547

# Ac6NiPd3

Crystalline Ac6NiPd3 at its relaxed geometry (PBE, Alexandria).

Cell and atoms, written as CIF:
```
data_Ac6NiPd3
_space_group_name_H-M_alt 'P 1 21/c 1'
_space_group_IT_number 14
_space_group_name_Hall '-P 2ybc'
_cell_length_a 7.3067
_cell_length_b 8.0532
_cell_length_c 13.4189
_cell_angle_alpha 90.00
_cell_angle_beta 122.22
_cell_angle_gamma 90.00
loop_
_atom_site_label
_atom_site_fract_x
_atom_site_fract_y
_atom_site_fract_z
Ac1 0.0891 0.1859 0.4213
Ac2 0.2458 0.6749 0.4230
Ac3 0.4029 0.0519 0.2459
Ni1 0.0000 0.0000 0.0000
Pd1 0.1883 0.1128 0.7463
Pd2 0.5000 0.0000 0.5000
```

Summary:
Density of states at the Fermi level (states/eV/cell): 18.52
Formation energy from the elements (meV per atom): -512

# AcNiPd

Crystalline AcNiPd at its relaxed geometry (PBE, Alexandria).

Cell and atoms, written as CIF:
```
data_AcNiPd
_space_group_name_H-M_alt 'P 41 21 2'
_space_group_IT_number 92
_space_group_name_Hall 'P 4abw 2nw'
_cell_length_a 7.2262
_cell_length_b 7.2262
_cell_length_c 5.6538
_cell_angle_alpha 90.00
_cell_angle_beta 90.00
_cell_angle_gamma 90.00
loop_
_atom_site_label
_atom_site_fract_x
_atom_site_fract_y
_atom_site_fract_z
Ac1 0.2287 0.2287 0.0000
Ni1 0.0454 0.0454 0.5000
Pd1 0.2033 0.7967 0.7500
```

Summary:
Density of states at the Fermi level (states/eV/cell): 4.77
Formation energy from the elements (meV per atom): -197
Polymorph energy (0 for the lowest one) (meV/atom): 335.6

# Ac4Ni2Pd5

Crystalline Ac4Ni2Pd5 at its relaxed geometry (PBE, Alexandria).

Cell and atoms, written as CIF:
```
data_Ac4Ni2Pd5
_space_group_name_H-M_alt 'P 1 2/m 1'
_space_group_IT_number 10
_space_group_name_Hall '-P 2y'
_cell_length_a 7.2826
_cell_length_b 4.1796
_cell_length_c 8.5734
_cell_angle_alpha 90.00
_cell_angle_beta 91.86
_cell_angle_gamma 90.00
loop_
_atom_site_label
_atom_site_fract_x
_atom_site_fract_y
_atom_site_fract_z
Ac1 0.2312 0.0000 0.3717
Ac2 0.2520 0.0000 0.8891
Ni1 0.0758 0.5000 0.1234
Pd1 0.1381 0.5000 0.6334
Pd2 0.4380 0.5000 0.1627
Pd3 0.5000 0.5000 0.5000
```

Summary:
Density of states at the Fermi level (states/eV/cell): 7.46
Formation energy from the elements (meV per atom): -653

# Ac3Ni2Pd7

Crystalline Ac3Ni2Pd7 at its relaxed geometry (PBE, Alexandria).

Cell and atoms, written as CIF:
```
data_Ac3Ni2Pd7
_space_group_name_H-M_alt 'R -3 m'
_space_group_IT_number 166
_space_group_name_Hall '-R 3 2"'
_cell_length_a 5.5473
_cell_length_b 5.5473
_cell_length_c 26.6341
_cell_angle_alpha 90.00
_cell_angle_beta 90.00
_cell_angle_gamma 120.00
loop_
_atom_site_label
_atom_site_fract_x
_atom_site_fract_y
_atom_site_fract_z
Ac1 0.0000 0.0000 0.0000
Ac2 0.0000 0.0000 0.1378
Ni1 0.0000 0.0000 0.3331
Pd1 0.0000 0.0000 0.5000
Pd2 0.0014 0.5007 0.9216
```

Summary:
Density of states at the Fermi level (states/eV/cell): 29.10
Formation energy from the elements (meV per atom): -604

Question: Look up the formation energy from the elements of the eleventh one.
Answer: -653 meV per atom